# 1
# YTlCdTe3

Crystalline YTlCdTe3 at its relaxed geometry (PBE, OQMD).

Its space-group type is Pnma, No. 62.

Cell: 8.711 4.716 18.698 Å, 90.00 90.00 90.00°
Fractional coordinates of all 24 atoms:
Y (0.232, 0.250, 0.040)
Y (0.268, 0.750, 0.540)
Y (0.732, 0.250, 0.460)
Y (0.768, 0.750, 0.960)
Tl (0.059, 0.250, 0.804)
Tl (0.441, 0.750, 0.304)
Tl (0.559, 0.250, 0.696)
Tl (0.941, 0.750, 0.196)
Cd (0.078, 0.250, 0.340)
Cd (0.422, 0.750, 0.840)
Cd (0.578, 0.250, 0.160)
Cd (0.922, 0.750, 0.660)
Te (0.004, 0.250, 0.576)
Te (0.127, 0.750, 0.941)
Te (0.233, 0.250, 0.206)
Te (0.267, 0.750, 0.706)
Te (0.373, 0.250, 0.441)
Te (0.496, 0.750, 0.076)
Te (0.504, 0.250, 0.924)
Te (0.627, 0.750, 0.559)
Te (0.733, 0.250, 0.294)
Te (0.767, 0.750, 0.794)
Te (0.873, 0.250, 0.059)
Te (0.996, 0.750, 0.424)

# 2
# YTlCdTe3

Crystalline YTlCdTe3 at its relaxed geometry (PBE, OQMD).

Its space-group type is Pnma, No. 62.

Cell: 11.703 4.464 15.353 Å, 90.00 90.00 90.00°
Fractional coordinates of all 24 atoms:
Y (0.008, 0.250, 0.249)
Y (0.492, 0.750, 0.749)
Y (0.508, 0.250, 0.251)
Y (0.992, 0.750, 0.751)
Tl (0.241, 0.750, 0.511)
Tl (0.259, 0.250, 0.011)
Tl (0.741, 0.750, 0.989)
Tl (0.759, 0.250, 0.489)
Cd (0.244, 0.250, 0.714)
Cd (0.256, 0.750, 0.214)
Cd (0.744, 0.250, 0.786)
Cd (0.756, 0.750, 0.286)
Te (0.042, 0.250, 0.614)
Te (0.057, 0.750, 0.112)
Te (0.242, 0.750, 0.832)
Te (0.258, 0.250, 0.332)
Te (0.443, 0.250, 0.612)
Te (0.458, 0.750, 0.114)
Te (0.542, 0.250, 0.886)
Te (0.557, 0.750, 0.388)
Te (0.742, 0.750, 0.668)
Te (0.758, 0.250, 0.168)
Te (0.943, 0.250, 0.888)
Te (0.958, 0.750, 0.386)

# 3
# YTlCdTe3

Crystalline YTlCdTe3 at its relaxed geometry (PBE, OQMD).

Its space-group type is Cmcm, No. 63.

Cell: 8.068 8.068 11.741 Å, 90.00 90.00 147.93°
Fractional coordinates of all 12 atoms:
Y (0.000, 0.000, 0.000)
Y (0.000, 0.000, 0.500)
Tl (0.241, 0.759, 0.750)
Tl (0.759, 0.241, 0.250)
Cd (0.463, 0.537, 0.250)
Cd (0.537, 0.463, 0.750)
Te (0.080, 0.920, 0.250)
Te (0.364, 0.636, 0.049)
Te (0.364, 0.636, 0.451)
Te (0.636, 0.364, 0.549)
Te (0.636, 0.364, 0.951)
Te (0.920, 0.080, 0.750)

# 4
# TmCdTe

Crystalline TmCdTe at its relaxed geometry (PBE, OQMD).

Its space-group type is F-43m, No. 216.

Cell: 5.116 5.116 5.116 Å, 60.00 60.00 60.00°
Fractional coordinates of all 3 atoms:
Tm (0.000, 0.000, 0.000)
Cd (0.500, 0.500, 0.500)
Te (0.750, 0.750, 0.750)

# 5
# TmCdTe

Crystalline TmCdTe at its relaxed geometry (PBE, OQMD).

Its space-group type is F-43m, No. 216.

Cell: 5.081 5.081 5.081 Å, 60.00 60.00 60.00°
Fractional coordinates of all 3 atoms:
Tm (0.000, 0.000, 0.000)
Cd (0.750, 0.750, 0.750)
Te (0.250, 0.250, 0.250)

# 6
# CdTe2W

Crystalline CdTe2W at its relaxed geometry (PBE, OQMD).

Its space-group type is F-43m, No. 216.

Cell: 5.020 5.020 5.020 Å, 60.00 60.00 60.00°
Fractional coordinates of all 4 atoms:
Cd (0.000, 0.000, 0.000)
Te (0.250, 0.250, 0.250)
Te (0.500, 0.500, 0.500)
W (0.750, 0.750, 0.750)

# 7
# CdTeW

Crystalline CdTeW at its relaxed geometry (PBE, OQMD).

Its space-group type is F-43m, No. 216.

Cell: 4.625 4.625 4.625 Å, 60.00 60.00 60.00°
Fractional coordinates of all 3 atoms:
Cd (0.000, 0.000, 0.000)
Te (0.250, 0.250, 0.250)
W (0.500, 0.500, 0.500)

# 8
# CdTeW

Crystalline CdTeW at its relaxed geometry (PBE, OQMD).

Its space-group type is F-43m, No. 216.

Cell: 4.614 4.614 4.614 Å, 60.00 60.00 60.00°
Fractional coordinates of all 3 atoms:
Cd (0.000, 0.000, 0.000)
Te (0.500, 0.500, 0.500)
W (0.250, 0.250, 0.250)

# 9
# Y2CdTe4

Crystalline Y2CdTe4 at its relaxed geometry (PBE, OQMD).

Its space-group type is Fd-3m, No. 227.

Cell: 8.927 8.927 8.927 Å, 60.00 60.00 60.00°
Fractional coordinates of all 14 atoms:
Y (0.000, 0.000, 0.000)
Y (0.000, 0.000, 0.500)
Y (0.000, 0.500, 0.000)
Y (0.500, 0.000, 0.000)
Cd (0.375, 0.375, 0.375)
Cd (0.625, 0.625, 0.625)
Te (0.233, 0.756, 0.756)
Te (0.244, 0.244, 0.244)
Te (0.244, 0.244, 0.767)
Te (0.244, 0.767, 0.244)
Te (0.756, 0.233, 0.756)
Te (0.756, 0.756, 0.233)
Te (0.756, 0.756, 0.756)
Te (0.767, 0.244, 0.244)

# 10
# ZnCdTe

Crystalline ZnCdTe at its relaxed geometry (PBE, OQMD).

Its space-group type is Pnma, No. 62.

Cell: 7.593 4.191 9.369 Å, 90.00 90.00 90.00°
Fractional coordinates of all 12 atoms:
Zn (0.132, 0.250, 0.135)
Zn (0.368, 0.750, 0.635)
Zn (0.632, 0.250, 0.365)
Zn (0.868, 0.750, 0.865)
Cd (0.020, 0.250, 0.712)
Cd (0.480, 0.750, 0.212)
Cd (0.520, 0.250, 0.788)
Cd (0.980, 0.750, 0.288)
Te (0.246, 0.750, 0.962)
Te (0.254, 0.250, 0.462)
Te (0.746, 0.750, 0.538)
Te (0.754, 0.250, 0.038)

# 11
# ZnCdTe

Crystalline ZnCdTe at its relaxed geometry (PBE, OQMD).

Its space-group type is Pnma, No. 62.

Cell: 7.618 4.129 9.956 Å, 90.00 90.00 90.00°
Fractional coordinates of all 12 atoms:
Zn (0.202, 0.250, 0.011)
Zn (0.298, 0.750, 0.511)
Zn (0.702, 0.250, 0.489)
Zn (0.798, 0.750, 0.989)
Cd (0.036, 0.250, 0.393)
Cd (0.464, 0.750, 0.893)
Cd (0.536, 0.250, 0.107)
Cd (0.964, 0.750, 0.607)
Te (0.058, 0.750, 0.170)
Te (0.442, 0.250, 0.670)
Te (0.558, 0.750, 0.330)
Te (0.942, 0.250, 0.830)

# 12
# ZrCd2Te2

Crystalline ZrCd2Te2 at its relaxed geometry (PBE, OQMD).

Its space-group type is I4/mmm, No. 139.

Cell: 5.850 5.850 5.850 Å, 126.81 126.81 78.57°
Fractional coordinates of all 5 atoms:
Zr (0.000, 0.000, 0.000)
Cd (0.359, 0.359, 0.000)
Cd (0.641, 0.641, 0.000)
Te (0.250, 0.750, 0.500)
Te (0.750, 0.250, 0.500)

Record order is preserved below.
E_tot: -94.36 -96.42 -48.22 -9.15 -9.61 -15.71 -13.39 -14.24 -68.70 -21.38 -22.15 -15.16 eV for the cell shown